Entry 1:
First-principles (PBE-GGA) data for an optimized crystal structure of CuMoAsPt2, as listed in Alexandria.

abc: 4.827 4.635 4.827
angles: 90.00 90.00 90.00
Fractional positions:
Mo: 0.000 0.000 0.000
Cu: 0.000 0.500 0.000
As: 0.500 0.500 0.500
Pt: 0.000 0.000 0.500
Pt: 0.500 0.000 0.000

Results
The calculation puts the density of states at the Fermi level at 5.7 states/eV per cell. The total energy is -5.05 eV per atom. The calculation puts the calculated formation energy at 619.6 kJ/mol of formula units. As for the size of the total moment: 0.0 μB per formula unit.

=====

Entry 2:
First-principles (PBE-GGA) data for an optimized crystal structure of RbCuMo2As, as listed in Alexandria.

abc: 4.899 5.305 4.899
angles: 90.00 90.00 90.00
Each line ends with the local moment (μB).
Fractional positions:
Mo: 0.000 0.000 0.500  2.63
Mo: 0.500 0.000 0.000  2.53
Cu: 0.000 0.000 0.000  0.20
As: 0.500 0.500 0.500  -0.27
Rb: 0.000 0.500 0.000  0.03

Results
The calculation puts the density of states at the Fermi level at 3.5 states/eV per cell. The total energy is -4.53 eV per atom. The calculation puts the calculated formation energy at 842.7 kJ/mol of formula units. As for the size of the total moment: 6.0 μB per formula unit.

=====

Entry 3:
First-principles (PBE-GGA) data for an optimized crystal structure of Cu2SbMoAs, as listed in Alexandria.

abc: 4.800 4.738 4.800
angles: 90.00 90.00 90.00
Fractional positions:
Sb: 0.500 0.500 0.500
Mo: 0.000 0.000 0.000
As: 0.000 0.500 0.000
Cu: 0.000 0.000 0.500
Cu: 0.500 0.000 0.000

Results
The calculation puts the density of states at the Fermi level at 3.4 states/eV per cell. The total energy is -4.64 eV per atom. Its uncorrected formation energy is 0.92 eV/atom. As for the size of the total moment: 0.0 μB per formula unit.

=====

Entry 4:
First-principles (PBE-GGA) data for an optimized crystal structure of CuMoAs2Se, as listed in Alexandria.

abc: 4.923 4.923 4.819
angles: 90.00 90.00 90.00
Fractional positions:
Mo: 0.000 0.000 0.000
Cu: 0.500 0.500 0.500
As: 0.000 0.500 0.000
As: 0.500 0.000 0.000
Se: 0.000 0.000 0.500

Results
The relative energy among the computed polymorphs comes out at 0.0000 eV per atom. The calculation puts the density of states at the Fermi level at 3.7 states/eV per cell. The total energy is -4.89 eV per atom. Its uncorrected formation energy is 0.65 eV/atom. As for the size of the total moment: 0.0 μB per formula unit.